Here is crystalline YSc3B4O12 at its relaxed geometry from the Alexandria database. Energies are from PBE.

Values from the calculation:
- Space group: R32 (155)
- Formation energy without anion corrections: -3.0318 eV/atom
- Total energy: -172.3 eV/cell

Cell lengths 6.2601, 6.2601, 6.2601 Å; angles 103.34, 103.34, 103.34 degrees
Positions (direct):
Y: 0.0000 0.0000 0.0000
Sc: 0.5449 0.4551 0.0000
Sc: 0.4551 0.0000 0.5449
Sc: 0.0000 0.5449 0.4551
B: 0.9547 0.0453 0.5000
B: 0.0453 0.5000 0.9547
B: 0.5000 0.9547 0.0453
B: 0.5000 0.5000 0.5000
O: 0.5000 0.3594 0.6406
O: 0.9048 0.5000 0.0952
O: 0.0952 0.9048 0.5000
O: 0.5000 0.0952 0.9048
O: 0.3645 0.9705 0.1919
O: 0.1919 0.3645 0.9705
O: 0.9705 0.1919 0.3645
O: 0.6355 0.8081 0.0295
O: 0.0295 0.6355 0.8081
O: 0.8081 0.0295 0.6355
O: 0.6406 0.5000 0.3594
O: 0.3594 0.6406 0.5000

---

Here is crystalline YScB2O at its relaxed geometry from the Alexandria database. Energies are from PBE.

Values from the calculation:
- Space group: P4/mmm (123)
- Formation energy without anion corrections: 1.9132 eV/atom
- Total energy: -21.5 eV/cell

Cell lengths 4.3038, 6.3588, 4.3038 Å; angles 90.00, 90.00, 90.00 degrees
Positions (direct):
Y: 0.0000 0.0000 0.0000
Sc: 0.0000 0.5000 0.0000
B: 0.0000 0.0000 0.5000
B: 0.5000 0.0000 0.0000
O: 0.5000 0.5000 0.5000

---

Here is crystalline YbScB2O6 at its relaxed geometry from the Alexandria database. Energies are from PBE.

Values from the calculation:
- Space group: R-3 (148)
- Formation energy without anion corrections: -2.7787 eV/atom
- Total energy: -78.7 eV/cell

Cell lengths 4.9150, 4.9149, 6.1344 Å; angles 66.38, 66.38, 60.00 degrees
Site moments in Bohr magnetons follow the coordinates.
Positions (direct):
Sc: 0.5000 0.5000 0.5000  0.00
B: 0.2443 0.2443 0.2670  -0.01
B: 0.7557 0.7557 0.7330  -0.01
Yb: 0.0000 0.0000 0.0000  0.02
O: 0.5116 0.9529 0.2645  0.15
O: 0.9529 0.2711 0.2645  0.15
O: 0.7289 0.4884 0.7355  0.15
O: 0.4884 0.0471 0.7355  0.15
O: 0.0471 0.7289 0.7355  0.15
O: 0.2711 0.5116 0.2645  0.15

---

Here is crystalline ScZnBO4 at its relaxed geometry from the Alexandria database. Energies are from PBE.

Values from the calculation:
- Space group: Imma (74)
- Formation energy without anion corrections: -2.2014 eV/atom
- Total energy: -99.1 eV/cell

Cell lengths 5.5929, 5.6798, 5.6798 Å; angles 62.34, 60.51, 60.51 degrees
Positions (direct):
Sc: 0.0000 0.0000 0.0000
Sc: 0.0000 0.5000 0.5000
Zn: 0.5000 0.0000 0.5000
Zn: 0.0000 0.0000 0.5000
B: 0.6268 0.6232 0.1232
B: 0.3732 0.3768 0.8768
O: 0.7366 0.7254 0.8014
O: 0.2634 0.6986 0.7746
O: 0.7366 0.3014 0.2254
O: 0.2634 0.2746 0.1986
O: 0.2837 0.7385 0.2385
O: 0.7393 0.7385 0.2385
O: 0.2607 0.2615 0.7615
O: 0.7163 0.2615 0.7615

---

Here is crystalline BSeO2 at its relaxed geometry from the Alexandria database. Energies are from PBE.

Values from the calculation:
- Energy above the most stable polymorph in this dataset: 2.121 eV/atom
- Space group: Fm-3m (225)
- Formation energy without anion corrections: 1.2363 eV/atom
- Total energy: -15.1 eV/cell

Cell lengths 3.8505, 3.8505, 3.8505 Å; angles 60.00, 60.00, 60.00 degrees
Positions (direct):
B: 0.0000 0.0000 0.0000
O: 0.2500 0.2500 0.2500
O: 0.7500 0.7500 0.7500
Se: 0.5000 0.5000 0.5000

---

Here is crystalline B2SeO at its relaxed geometry from the Alexandria database. Energies are from PBE.

Values from the calculation:
- Energy above the most stable polymorph in this dataset: 1.100 eV/atom
- Space group: Fm-3m (225)
- Formation energy without anion corrections: 1.6015 eV/atom
- Total energy: -15.4 eV/cell

Cell lengths 3.8499, 3.8499, 3.8499 Å; angles 60.00, 60.00, 60.00 degrees
Positions (direct):
B: 0.2500 0.2500 0.2500
B: 0.7500 0.7500 0.7500
O: 0.0000 0.0000 0.0000
Se: 0.5000 0.5000 0.5000

---

Here is crystalline BSeO2 at its relaxed geometry from the Alexandria database. Energies are from PBE.

Values from the calculation:
- Energy above the most stable polymorph in this dataset: 0.221 eV/atom
- Space group: R-3m (166)
- Formation energy without anion corrections: -0.6641 eV/atom
- Total energy: -22.7 eV/cell

Cell lengths 6.7757, 6.7757, 6.7757 Å; angles 25.43, 25.43, 25.43 degrees
Site moments in Bohr magnetons follow the coordinates.
Positions (direct):
B: 0.0000 0.0000 0.0000  0.02
O: 0.9356 0.9356 0.9356  0.03
O: 0.0644 0.0644 0.0644  0.03
Se: 0.5000 0.5000 0.5000  0.25

---

Here is crystalline B2SeO6 at its relaxed geometry from the Alexandria database. Energies are from PBE.

Values from the calculation:
- Space group: C2/c (15)
- Formation energy without anion corrections: -1.4654 eV/atom
- Total energy: -119.6 eV/cell

Cell lengths 4.5345, 6.9377, 6.9377 Å; angles 91.29, 70.95, 70.95 degrees
Positions (direct):
B: 0.1377 0.6857 0.8138
B: 0.3623 0.1862 0.3143
B: 0.8623 0.3143 0.1862
B: 0.6377 0.8138 0.6857
Se: 0.2500 0.2497 0.7503
Se: 0.7500 0.7503 0.2497
O: 0.3308 0.7954 0.7036
O: 0.1692 0.2964 0.2046
O: 0.6692 0.2046 0.2964
O: 0.8308 0.7036 0.7954
O: 0.8778 0.7625 0.4509
O: 0.6222 0.5491 0.2375
O: 0.1222 0.2375 0.5491
O: 0.3778 0.4509 0.7625
O: 0.0909 0.7384 0.0485
O: 0.4091 0.9515 0.2616
O: 0.9091 0.2616 0.9515
O: 0.5909 0.0485 0.7384